No. 1
A crystal of Li2LaTa relaxed with PBEsol, computed with SCAN.

Structure (POSCAR):
```
Li2LaTa
1.0
-3.382 -0.947 2.469
2.644 -1.215 3.156
0.003 4.181 1.607
La Li Ta
1 2 1
direct
0.000 0.000 0.500
0.000 0.500 0.000
0.500 0.000 0.000
0.500 0.500 0.500
```

## Properties
V (Å³ per atom): 20.64
Uncorrected energy (eV per formula unit): -111.6
Formation energy (meV/atom): 706
Energy above the lowest structure with this stoichiometry (meV per atom): 240
DOS at the Fermi energy (states/eV per atom): 1.3782

No. 2
A crystal of TlCuRe2 relaxed with PBEsol, computed with SCAN.

Structure (POSCAR):
```
TlCuRe2
1.0
-2.842 -0.403 -1.101
-1.160 -1.977 3.717
-1.272 4.100 1.784
Cu Re Tl
1 2 1
direct
0.000 0.500 0.500
0.500 0.500 0.000
0.000 0.000 0.000
0.500 0.000 0.500
```

## Properties
V (Å³ per atom): 15.60
Uncorrected energy (eV per formula unit): -226.4
Formation energy (meV/atom): 838
Energy above the lowest structure with this stoichiometry (meV per atom): 168
DOS at the Fermi energy (states/eV per atom): 0.6317

No. 3
A crystal of LaCd2Pt relaxed with PBEsol, computed with SCAN.

Structure (POSCAR):
```
LaCd2Pt
1.0
3.457 0.000 0.000
0.000 3.457 0.000
0.000 0.000 7.474
Cd Pt La
2 1 1
direct
0.500 0.500 0.208
0.000 0.000 0.979
0.500 0.500 0.773
0.000 0.000 0.541
```

## Properties
V (Å³ per atom): 22.32
Uncorrected energy (eV per formula unit): -176.4
Formation energy (meV/atom): -576
DOS at the Fermi energy (states/eV per atom): 0.4405